DFT (PBE-GGA) results for a relaxed structure of Ce2MnBe3Si4.

Cell and atoms, written as extended XYZ:
```
10
Lattice="3.9546 0.0000 0.0000 0.0000 3.9546 0.0000 0.0000 0.0000 9.7542" Properties=species:S:1:pos:R:3 pbc="T T T"
Ce 0.0000 1.9773 2.3691
Ce 1.9773 0.0000 7.3852
Mn 0.0000 0.0000 4.8771
Be 0.0000 1.9773 8.5306
Be 1.9773 0.0000 1.2236
Be 1.9773 1.9773 4.8771
Si 0.0000 0.0000 0.0000
Si 0.0000 1.9773 6.2182
Si 1.9773 0.0000 3.5360
Si 1.9773 1.9773 0.0000
```

Properties
Mass density in g/cm3: 5.17
Formation energy (no corrections) in eV per atom: -0.421
Total energy in eV per atom: -5.81
V in Å³/cell: 153

---

DFT (PBE-GGA) results for a relaxed structure of Ce2BeMoN5.

Cell and atoms, written as extended XYZ:
```
18
Lattice="1.6023 -6.6940 0.0000 1.6023 6.6940 0.0000 0.0000 0.0000 9.7918" Properties=species:S:1:pos:R:3 pbc="T T T"
Ce 1.6023 5.0938 4.8959
Ce 1.6023 4.9837 1.2437
Ce 1.6023 -4.9837 6.1397
Ce 1.6023 -5.0938 0.0000
Be 1.6023 0.6233 2.4098
Be 1.6023 -0.6233 7.3057
Mo 1.6023 4.1101 8.0402
Mo 1.6023 -4.1101 3.1443
N 1.6023 6.1075 8.0061
N 1.6023 2.6747 4.5513
N 1.6023 2.5326 1.7050
N 1.6023 2.1057 8.0175
N 1.6023 0.0277 5.7361
N 1.6023 -0.0277 0.8402
N 1.6023 -2.1057 3.1216
N 1.6023 -2.5326 6.6010
N 1.6023 -2.6747 9.4472
N 1.6023 -6.1075 3.1102
```

Properties
Mass density in g/cm3: 7.20
Formation energy (no corrections) in eV per atom: -0.967
Total energy in eV per atom: -8.53
V in Å³/cell: 210

---

DFT (PBE-GGA) results for a relaxed structure of CeBeN.

Cell and atoms, written as extended XYZ:
```
3
Lattice="-1.9400 1.9400 3.2644 1.9400 -1.9400 3.2644 1.9400 1.9400 -3.2644" Properties=species:S:1:pos:R:3 pbc="T T T"
Ce 0.0000 0.0000 0.0000
Be 0.0000 0.0000 2.7374
N 0.0000 0.0000 4.2320
```

Properties
Mass density in g/cm3: 5.51
Formation energy (no corrections) in eV per atom: -0.208
Total energy in eV per atom: -6.20
Polymorph energy (0 for the lowest one) in eV per atom: 0.395
V in Å³/cell: 49

---

DFT (PBE-GGA) results for a relaxed structure of Ce2Be2N3.

Cell and atoms, written as extended XYZ:
```
7
Lattice="5.3022 -1.5926 0.0000 5.3022 1.5926 0.0000 -0.2835 0.0000 5.0065" Properties=species:S:1:pos:R:3 pbc="T T T"
Ce 1.3879 0.0000 1.2127
Ce 8.9330 0.0000 3.7937
Be 4.1820 0.0000 1.2162
Be 6.1390 0.0000 3.7903
N 1.6639 0.0000 3.6656
N 5.3022 0.0000 0.0000
N 8.6570 0.0000 1.3409
```

Properties
Mass density in g/cm3: 6.68
Formation energy (no corrections) in eV per atom: -1.184
Total energy in eV per atom: -7.51
V in Å³/cell: 85

---

DFT (PBE-GGA) results for a relaxed structure of CeBeN.

Cell and atoms, written as extended XYZ:
```
12
Lattice="7.0576 0.0000 0.0000 0.0000 7.0576 0.0000 0.0000 0.0000 3.0357" Properties=species:S:1:pos:R:3 pbc="T T T"
Ce 0.3426 4.9458 0.0000
Ce 2.1118 0.3426 1.5178
Ce 4.9458 6.7150 1.5178
Ce 6.7150 2.1118 0.0000
Be 2.4941 2.7118 0.0000
Be 2.7118 4.5635 1.5178
Be 4.3459 2.4941 1.5178
Be 4.5635 4.3459 0.0000
N 1.8005 3.0919 1.5178
N 3.0919 5.2572 0.0000
N 3.9657 1.8005 0.0000
N 5.2572 3.9657 1.5178
```

Properties
Mass density in g/cm3: 7.17
Formation energy (no corrections) in eV per atom: -0.604
Total energy in eV per atom: -6.60
Polymorph energy (0 for the lowest one) in eV per atom: 0.000
V in Å³/cell: 151

---

DFT (PBE-GGA) results for a relaxed structure of Ce2BeN.

Cell and atoms, written as extended XYZ:
```
4
Lattice="1.6247 0.9380 9.1450 -1.6247 0.9380 9.1450 0.0000 -1.8761 9.1450" Properties=species:S:1:pos:R:3 pbc="T T T"
Ce 0.0000 0.0000 3.0837
Ce 0.0000 0.0000 24.3514
Be 0.0000 0.0000 0.0000
N 0.0000 0.0000 13.7175
```

Properties
Mass density in g/cm3: 6.02
Formation energy (no corrections) in eV per atom: -0.058
Total energy in eV per atom: -6.04
V in Å³/cell: 84